Compound: FePbS2O
Source: Alexandria via LeMat-Bulk
Functional: PBE with a Hubbard U
Structure: optimized geometry

Output
VASP energy	-3.98	eV/atom
Fermi-level density of states	3.2	states/eV per cell

Cell and atoms, written as POSCAR:
```
FePbS2O
1.0
4.498 0.000 0.000
0.000 4.736 0.000
0.000 0.000 4.498
S Pb Fe O
2 1 1 1
direct
0.000 0.000 0.500
0.500 0.000 0.000
0.000 0.500 0.000
0.500 0.500 0.500
0.000 0.000 0.000
```